This record from Alexandria via LeMat-Bulk describes a relaxed structure of Pu2ThMn2. The functional is PBE-GGA.

Summary:
As for the formation energy: 0.89 eV per formula unit. The magnetic moment comes out at 1.33 μB per atom. Its total DFT energy (no corrections) is -53.5 eV/cell. As for the density of states at the Fermi level: 9.6 states/eV/cell. The crystal system is monoclinic.

The structure in CIF format:
```
data_Pu2ThMn2
_space_group_name_H-M_alt 'P 1'
_space_group_IT_number 1
_cell_length_a 4.2400
_cell_length_b 4.2400
_cell_length_c 6.5744
_cell_angle_alpha 73.78
_cell_angle_beta 73.78
_cell_angle_gamma 89.84
loop_
_space_group_symop_operation_xyz
'x,y,z'
loop_
_atom_site_label
_atom_site_type_symbol
_atom_site_fract_x
_atom_site_fract_y
_atom_site_fract_z
Pu1 Pu 0.2468 0.7532 0.5000
Pu2 Pu 0.7532 0.2468 0.5000
Th1 Th 0.0000 0.0000 0.0000
Mn1 Mn 0.5845 0.5845 0.7986
Mn2 Mn 0.4155 0.4155 0.2014
```

***

This record from Alexandria via LeMat-Bulk describes a relaxed structure of PuThMn. The functional is PBE-GGA.

Summary:
As for the formation energy: 0.33 eV per formula unit. The magnetic moment comes out at 1.49 μB per atom. Its total DFT energy (no corrections) is -30.6 eV/cell. Its energy above the most stable polymorph in this dataset is 0.0 meV per atom. As for the density of states at the Fermi level: 4.8 states/eV/cell. The crystal system is hexagonal.

The structure in CIF format:
```
data_PuThMn
_space_group_name_H-M_alt 'P 1'
_space_group_IT_number 1
_cell_length_a 4.5781
_cell_length_b 4.1496
_cell_length_c 4.1496
_cell_angle_alpha 120.00
_cell_angle_beta 90.00
_cell_angle_gamma 90.00
loop_
_space_group_symop_operation_xyz
'x,y,z'
loop_
_atom_site_label
_atom_site_type_symbol
_atom_site_fract_x
_atom_site_fract_y
_atom_site_fract_z
Mn1 Mn 0.1666 0.0000 0.0000
Th1 Th 0.6667 0.3333 0.6667
Pu1 Pu 0.1667 0.6667 0.3333
```

***

This record from Alexandria via LeMat-Bulk describes a relaxed structure of PuThMn4. The functional is PBE-GGA.

Summary:
As for the formation energy: 0.17 eV per formula unit. The magnetic moment comes out at 0.42 μB per atom. Its total DFT energy (no corrections) is -58.3 eV/cell. As for the density of states at the Fermi level: 8.4 states/eV/cell. The crystal system is cubic.

The structure in CIF format:
```
data_PuThMn4
_space_group_name_H-M_alt 'P 1'
_space_group_IT_number 1
_cell_length_a 5.1652
_cell_length_b 5.1652
_cell_length_c 5.1652
_cell_angle_alpha 60.00
_cell_angle_beta 60.00
_cell_angle_gamma 60.00
loop_
_space_group_symop_operation_xyz
'x,y,z'
loop_
_atom_site_label
_atom_site_type_symbol
_atom_site_fract_x
_atom_site_fract_y
_atom_site_fract_z
Mn1 Mn 0.6244 0.6244 0.1269
Mn2 Mn 0.6244 0.1269 0.6244
Mn3 Mn 0.6244 0.6244 0.6244
Mn4 Mn 0.1269 0.6244 0.6244
Th1 Th 0.0000 0.0000 0.0000
Pu1 Pu 0.2500 0.2500 0.2500
```